This record from Alexandria via LeMat-Bulk describes crystalline Cr2HgTe at its relaxed geometry. The functional is PBE.

Summary:
Electronic total energy: -5.08 eV/atom
ΔE_f (raw): 0.60 eV per atom
DOS at the Fermi energy: 0.6276 states/eV/atom
Calculated volume: 25.70 A^3/atom
Offset from the most stable computed form: 0.272 eV per atom

```
data_Cr2HgTe
_space_group_name_H-M_alt 'I -4 2 d'
_space_group_IT_number 122
_space_group_name_Hall 'I -4 2bw'
_cell_length_a 4.854
_cell_length_b 4.854
_cell_length_c 17.456
_cell_angle_alpha 90.00
_cell_angle_beta 90.00
_cell_angle_gamma 90.00
loop_
_atom_site_label
_atom_site_type_symbol
_atom_site_fract_x
_atom_site_fract_y
_atom_site_fract_z
_atom_site_occupancy
Cr1 Cr 0.231 0.250 0.125 1
Hg1 Hg 0.000 0.000 0.500 1
Te1 Te 0.000 0.000 0.000 1
```